This record from Alexandria via LeMat-Bulk describes AcGdHoPu after structural relaxation. The functional is PBE-GGA.

abc: 8.150 8.150 8.150
angles: 90.00 90.00 90.00
Fractional positions:
Ac 0.000 0.000 0.000
Ac 0.000 0.500 0.500
Ac 0.500 0.000 0.500
Ac 0.500 0.500 0.000
Gd 0.250 0.250 0.250
Gd 0.250 0.750 0.750
Gd 0.750 0.250 0.750
Gd 0.750 0.750 0.250
Ho 0.000 0.000 0.500
Ho 0.000 0.500 0.000
Ho 0.500 0.000 0.000
Ho 0.500 0.500 0.500
Pu 0.250 0.250 0.750
Pu 0.250 0.750 0.250
Pu 0.750 0.250 0.250
Pu 0.750 0.750 0.750

Energy relative to the elements = 0.27 eV/atom
Space group = F-43m (216)
Calculated density = 9733 kg/m3

This record from Alexandria via LeMat-Bulk describes BaBrO4 after structural relaxation. The functional is PBE-GGA.

abc: 7.562 7.562 5.937
angles: 90.00 90.00 148.37
Fractional positions:
Ba 0.115 0.885 0.750
Ba 0.885 0.115 0.250
Br 0.395 0.605 0.750
Br 0.605 0.395 0.250
O 0.078 0.922 0.250
O 0.317 0.683 0.536
O 0.317 0.683 0.964
O 0.500 0.500 0.000
O 0.500 0.500 0.500
O 0.683 0.317 0.036
O 0.683 0.317 0.464
O 0.922 0.078 0.750

Space group = Cmcm (63)
Calculated density = 5245 kg/m3
Formation energy (no corrections) = -0.71 eV per atom

This record from Alexandria via LeMat-Bulk describes PrTmMgZr after structural relaxation. The functional is PBE-GGA.

abc: 7.629 7.629 7.629
angles: 90.00 90.00 90.00
Fractional positions:
Pr 0.000 0.000 0.000
Pr 0.000 0.500 0.500
Pr 0.500 0.000 0.500
Pr 0.500 0.500 0.000
Tm 0.000 0.000 0.500
Tm 0.000 0.500 0.000
Tm 0.500 0.000 0.000
Tm 0.500 0.500 0.500
Mg 0.250 0.250 0.750
Mg 0.250 0.750 0.250
Mg 0.750 0.250 0.250
Mg 0.750 0.750 0.750
Zr 0.250 0.250 0.250
Zr 0.250 0.750 0.750
Zr 0.750 0.250 0.750
Zr 0.750 0.750 0.250

Energy relative to the elements = 0.14 eV/atom
Space group = F-43m (216)
Calculated density = 6362 kg/m3

This record from Alexandria via LeMat-Bulk describes Be3AlF after structural relaxation. The functional is PBE-GGA.

abc: 3.824 3.824 3.824
angles: 90.00 90.00 90.00
Fractional positions:
Be 0.000 0.000 0.500
Be 0.000 0.500 0.000
Be 0.500 0.000 0.000
Al 0.500 0.500 0.500
F 0.000 0.000 0.000

Polymorph energy (0 for the lowest one) = 0 meV per atom
Space group = Pm-3m (221)
Calculated density = 2168 kg/m3
Formation energy (no corrections) = 0.14 eV per atom

This record from Alexandria via LeMat-Bulk describes Zr2HgAu after structural relaxation. The functional is PBE-GGA.

abc: 3.359 3.359 27.543
angles: 90.00 90.00 120.00
Fractional positions:
Zr 0.000 0.000 0.000
Zr 0.000 0.000 0.246
Zr 0.333 0.667 0.667
Zr 0.333 0.667 0.912
Zr 0.667 0.333 0.333
Zr 0.667 0.333 0.579
Hg 0.000 0.000 0.493
Hg 0.333 0.667 0.160
Hg 0.667 0.333 0.827
Au 0.000 0.000 0.744
Au 0.333 0.667 0.410
Au 0.667 0.333 0.077

Energy relative to the elements = -0.15 eV/atom
Space group = R3m (160)
Calculated density = 10736 kg/m3